# AcLa4Sm4

AcLa4Sm4 after structural relaxation (PBE, the Alexandria database).

Computed properties:
Formation enthalpy at 0 K   0.24 eV/f.u.
Energy   -42.45 eV/f.u.
Magnetic moment   0.00 μB per formula unit

Cell lengths 8.3208, 8.3208, 8.3208 Å; angles 95.76, 95.76, 143.05 degrees
Positions (direct):
Ac  0.0000  0.0000  0.0000
La  0.3305  0.3305  0.6610
La  0.3305  0.6695  0.0000
La  0.6695  0.3305  0.0000
La  0.6695  0.6695  0.3390
Sm  0.0000  0.3382  0.3382
Sm  0.0000  0.6618  0.6618
Sm  0.3382  0.0000  0.3382
Sm  0.6618  0.0000  0.6618